[1]
# B3C, optimized geometry, DFT GGA-PBE
# - symmetry = Cm (8)
# - volume (Å³/atom) = 6.78
# - D(E_F) (states/eV/f.u.) = 0.6
# - energy of formation from the pure elements (eV/atom) = 0.32
data_B3C
_chemical_formula_sum 'B9 C3'
_space_group_name_H-M_alt 'P 1'
_space_group_IT_number 1
_cell_length_a 6.088
_cell_length_b 6.088
_cell_length_c 4.969
_cell_angle_alpha 92.47
_cell_angle_beta 92.47
_cell_angle_gamma 26.23
loop_
_space_group_symop_operation_xyz
'x,y,z'
loop_
_atom_site_label
_atom_site_type_symbol
_atom_site_fract_x
_atom_site_fract_y
_atom_site_fract_z
_atom_site_occupancy
B1 B 0.697 0.697 0.753 1
B2 B 0.258 0.258 0.935 1
B3 B 0.162 0.162 0.266 1
C1 C 0.321 0.321 0.273 1
B4 B 0.974 0.974 0.062 1
B5 B 0.517 0.517 0.487 1
B6 B 0.114 0.114 0.920 1
B7 B 0.983 0.983 0.714 1
B8 B 0.841 0.841 0.780 1
B9 B 0.789 0.789 0.421 1
C2 C 0.648 0.648 0.427 1
C3 C 0.446 0.446 0.212 1

***

[2]
# BC, optimized geometry, DFT GGA-PBE
# - symmetry = Cm (8)
# - volume (Å³/atom) = 7.07
# - D(E_F) (states/eV/f.u.) = 0.4
# - energy of formation from the pure elements (eV/atom) = 0.36
data_BC
_chemical_formula_sum 'B6 C6'
_space_group_name_H-M_alt 'P 1'
_space_group_IT_number 1
_cell_length_a 6.077
_cell_length_b 6.077
_cell_length_c 5.611
_cell_angle_alpha 105.59
_cell_angle_beta 105.59
_cell_angle_gamma 25.22
loop_
_space_group_symop_operation_xyz
'x,y,z'
loop_
_atom_site_label
_atom_site_type_symbol
_atom_site_fract_x
_atom_site_fract_y
_atom_site_fract_z
_atom_site_occupancy
B1 B 0.313 0.313 0.674 1
C1 C 0.998 0.998 0.491 1
B2 B 0.019 0.019 0.062 1
C2 C 0.924 0.924 0.213 1
B3 B 0.562 0.562 0.598 1
C3 C 0.252 0.252 0.373 1
B4 B 0.692 0.692 0.281 1
C4 C 0.242 0.242 0.875 1
B5 B 0.335 0.335 0.158 1
C5 C 0.667 0.667 0.849 1
B6 B 0.911 0.911 0.650 1
C6 C 0.583 0.583 0.026 1

***

[3]
# BC, optimized geometry, DFT GGA-PBE
# - symmetry = C2/m (12)
# - volume (Å³/atom) = 6.89
# - D(E_F) (states/eV/f.u.) = 0.2
# - energy of formation from the pure elements (eV/atom) = 0.39
data_BC
_chemical_formula_sum 'B6 C6'
_space_group_name_H-M_alt 'P 1'
_space_group_IT_number 1
_cell_length_a 4.595
_cell_length_b 4.595
_cell_length_c 8.657
_cell_angle_alpha 121.50
_cell_angle_beta 121.50
_cell_angle_gamma 32.62
loop_
_space_group_symop_operation_xyz
'x,y,z'
loop_
_atom_site_label
_atom_site_type_symbol
_atom_site_fract_x
_atom_site_fract_y
_atom_site_fract_z
_atom_site_occupancy
B1 B 0.717 0.717 0.332 1
B2 B 0.468 0.468 0.863 1
C1 C 0.344 0.344 0.649 1
C2 C 0.335 0.335 0.160 1
C3 C 0.184 0.184 0.216 1
B3 B 0.173 0.173 0.685 1
C4 C 0.983 0.983 0.492 1
C5 C 0.823 0.823 0.059 1
B4 B 0.450 0.450 0.376 1
B5 B 0.994 0.994 0.023 1
B6 B 0.699 0.699 0.845 1
C6 C 0.832 0.832 0.549 1

***

[4]
# B3C, optimized geometry, DFT GGA-PBE
# - symmetry = P-4m2 (115)
# - volume (Å³/atom) = 7.56
# - D(E_F) (states/eV/f.u.) = 0.8
# - energy of formation from the pure elements (eV/atom) = 0.51
data_B3C
_chemical_formula_sum 'B3 C1'
_space_group_name_H-M_alt 'P 1'
_space_group_IT_number 1
_cell_length_a 2.665
_cell_length_b 2.665
_cell_length_c 4.256
_cell_angle_alpha 90.00
_cell_angle_beta 90.00
_cell_angle_gamma 90.00
loop_
_space_group_symop_operation_xyz
'x,y,z'
loop_
_atom_site_label
_atom_site_type_symbol
_atom_site_fract_x
_atom_site_fract_y
_atom_site_fract_z
_atom_site_occupancy
B1 B 0.500 0.000 0.692 1
B2 B 0.000 0.000 0.000 1
B3 B 0.000 0.500 0.308 1
C1 C 0.500 0.500 0.500 1

***

Number 1: magnetization 0.000 Bohr magnetons per cell. Number 2: magnetization 0.000 Bohr magnetons per cell. Number 3: magnetization 0.000 Bohr magnetons per cell. Number 4: magnetization 0.000 Bohr magnetons per cell.